Below is Zr2MoIr after structural relaxation, with properties calculated at the PBEsol level.

## Properties
For the density, the calculation gives 11.17 g/cm3. For the formation energy, the calculation gives -234 meV per atom. The final energy comes out at -40.71 eV/cell. Its space group is Pmmm (47).

abc: 3.3710 4.2790 4.8492
angles: 90.00 90.00 90.00
Last column: nearest neighbours and their distance in Å.
Sites, in units of the cell vectors:
Zr1 0.0000 0.0000 0.0000  4 Ir 2.72, 4 Zr 2.95
Zr2 0.5000 0.0000 0.5000  4 Mo 2.72, 4 Zr 2.95
Mo1 0.0000 0.5000 0.5000  4 Zr 2.72, 4 Ir 2.95
Ir1 0.5000 0.5000 0.0000  4 Zr 2.72, 4 Mo 2.95